A plane-wave DFT calculation with GGA-PBEsol was carried out for crystalline Cr2SbMo at its relaxed geometry.

## Properties
- symmetry = R-3m
- Fermi-level density of states (states/eV/cell) = 5.0
- ΔE_f (raw) (eV per formula unit) = 2.2

abc: 3.002 3.002 7.993
angles: 79.17 79.17 60.00
Positions (direct):
Cr (0.757, 0.757, 0.729)
Mo (0.500, 0.500, 0.500)
Cr (0.243, 0.243, 0.271)
Sb (0.000, 0.000, 0.000)


A plane-wave DFT calculation with GGA-PBEsol was carried out for crystalline CrSb2Mo at its relaxed geometry.

## Properties
- symmetry = F-43m
- Fermi-level density of states (states/eV/cell) = 2.2
- ΔE_f (raw) (eV per formula unit) = 2.8

abc: 4.713 4.713 4.713
angles: 60.00 60.00 60.00
Positions (direct):
Mo (0.250, 0.250, 0.250)
Sb (0.750, 0.750, 0.750)
Cr (0.500, 0.500, 0.500)
Sb (0.000, 0.000, 0.000)


A plane-wave DFT calculation with GGA-PBEsol was carried out for crystalline CrSb2Mo at its relaxed geometry.

## Properties
- symmetry = P4/mmm
- Fermi-level density of states (states/eV/cell) = 2.7
- ΔE_f (raw) (eV per formula unit) = 1.2

abc: 3.269 4.601 4.601
angles: 90.00 90.00 90.00
Positions (direct):
Mo (0.500, 0.000, 0.000)
Sb (0.000, 0.500, 0.000)
Sb (0.000, 0.000, 0.500)
Cr (0.500, 0.500, 0.500)


The highest Fermi-level density of states belongs to which entry? Cr2SbMo


Which formula does entry 2 have? CrSb2Mo


ΔE_f (raw) of number 1 (Cr2SbMo)? 2.2 eV per formula unit


What is the formula in the second record? CrSb2Mo